[1]
# AgSbI

AgSbI after structural relaxation (PBE-GGA, Alexandria).

Output
- uncorrected energy (eV per formula unit) = -8.358
- total magnetization (μB/atom) = 0.000
- ΔE_f (raw) (eV/atom) = 0.06
- calculated density (g/cm³) = 6.4

```
6
Lattice="-3.689 -1.939 -0.116 0.305 -0.295 -6.276 3.199 -6.184 1.502" Properties=species:S:1:pos:R:3 pbc="T T T"
I -1.193 -4.464 0.576
I 2.214 -6.420 0.787
Sb -0.738 -5.248 -2.599
Sb 2.189 -6.343 -2.501
Ag -1.986 -2.803 -3.588
Ag 0.240 -2.677 -1.620
```

***

[2]
# AgSb2I6

AgSb2I6 after structural relaxation (PBE-GGA, Alexandria).

Output
- uncorrected energy (eV per formula unit) = -21.782
- total magnetization (μB/atom) = 0.000
- ΔE_f (raw) (eV/atom) = -0.15
- calculated density (g/cm³) = 4.7

```
9
Lattice="7.899 0.000 0.000 3.950 6.841 0.000 3.950 2.280 7.229" Properties=species:S:1:pos:R:3 pbc="T T T"
Ag 7.899 4.561 7.039
Sb 11.849 6.841 6.512
Sb 7.899 4.561 2.421
I 10.354 4.740 5.183
I 6.517 6.597 5.183
I 6.827 2.345 5.183
I 5.078 4.533 1.549
I 9.334 2.131 1.549
I 9.286 7.018 1.549
```

***

[3]
# AgSbI2

AgSbI2 after structural relaxation (PBE-GGA, Alexandria).

Output
- uncorrected energy (eV per formula unit) = -8.627
- total magnetization (μB/atom) = 0.000
- ΔE_f (raw) (eV/atom) = 0.36
- calculated density (g/cm³) = 6.9

```
4
Lattice="0.000 3.884 3.884 3.884 0.000 3.884 3.884 3.884 0.000" Properties=species:S:1:pos:R:3 pbc="T T T"
I 1.942 1.942 1.942
I 5.826 5.826 5.826
Sb 3.884 3.884 3.884
Ag 0.000 0.000 0.000
```